(1)
{
  "formula": "Er2Ga4AgAu3",
  "functional": "PBE-GGA",
  "state": "relaxed",
  "cell": [[4.214, 0.000, 0.000], [0.000, 4.214, 0.000], [0.000, 0.000, 11.183]],
  "species": ["Er", "Er", "Ga", "Ga", "Ga", "Ga", "Ag", "Au", "Au", "Au"],
  "frac_coords": [[0.500, 0.000, 0.252], [0.000, 0.500, 0.748], [0.500, 0.500, 0.000], [0.000, 0.000, 0.000], [0.500, 0.000, 0.638], [0.000, 0.500, 0.362], [0.500, 0.500, 0.500], [0.000, 0.000, 0.500], [0.500, 0.000, 0.860], [0.000, 0.500, 0.140]],
  "spacegroup": "P-4m2",
  "magmom_total_mub_per_fu": 0.000
}


(2)
{
  "formula": "Er4GaAgAu2",
  "functional": "PBE-GGA",
  "state": "relaxed",
  "cell": [[5.052, 0.000, 0.000], [2.526, 4.375, 0.000], [2.526, 1.458, 8.272]],
  "species": ["Er", "Er", "Er", "Er", "Ga", "Ag", "Au", "Au"],
  "frac_coords": [[0.376, 0.376, 0.872], [0.874, 0.874, 0.377], [0.126, 0.126, 0.623], [0.624, 0.624, 0.128], [0.500, 0.500, 0.500], [0.000, 0.000, 0.000], [0.749, 0.749, 0.752], [0.251, 0.251, 0.248]],
  "spacegroup": "R-3m",
  "magmom_total_mub_per_fu": 0.000
}


(3)
{
  "formula": "GdErAgAu",
  "functional": "PBE-GGA",
  "state": "relaxed",
  "cell": [[-1.752, 4.260, -2.224], [-0.164, 0.340, -5.101], [-4.505, -0.047, -2.423]],
  "species": ["Gd", "Au", "Ag", "Er"],
  "frac_coords": [[0.250, 0.250, 0.250], [0.000, 0.000, 0.000], [0.500, 0.500, 0.500], [0.750, 0.750, 0.750]],
  "spacegroup": "F-43m",
  "magmom_total_mub_per_fu": 7.126
}


(4)
{
  "formula": "ErAgGeAu",
  "functional": "PBE-GGA",
  "state": "relaxed",
  "cell": [[-2.499, -2.760, 3.081], [2.302, -3.219, 2.773], [0.376, 0.743, 4.760]],
  "species": ["Ge", "Au", "Ag", "Er"],
  "frac_coords": [[0.250, 0.250, 0.250], [0.750, 0.750, 0.750], [0.500, 0.500, 0.500], [0.000, 0.000, 0.000]],
  "spacegroup": "F-43m",
  "magmom_total_mub_per_fu": 0.000
}


(5)
{
  "formula": "ErHfAgAu",
  "functional": "PBE-GGA",
  "state": "relaxed",
  "cell": [[4.937, 0.000, 0.000], [2.469, 4.276, 0.000], [2.469, 1.425, 4.031]],
  "species": ["Hf", "Au", "Ag", "Er"],
  "frac_coords": [[0.250, 0.250, 0.250], [0.000, 0.000, 0.000], [0.500, 0.500, 0.500], [0.750, 0.750, 0.750]],
  "spacegroup": "F-43m",
  "magmom_total_mub_per_fu": 0.000
}


(6)
{
  "formula": "ErAgHgAu",
  "functional": "PBE-GGA",
  "state": "relaxed",
  "cell": [[4.630, 0.000, 0.000], [0.000, 4.630, -0.001], [-2.315, -2.315, 3.937]],
  "species": ["Er", "Ag", "Hg", "Au"],
  "frac_coords": [[0.250, 0.750, 0.500], [0.750, 0.250, 0.500], [0.500, 0.500, 0.000], [0.000, 0.000, 0.000]],
  "spacegroup": "I-4m2",
  "magmom_total_mub_per_fu": 0.000
}


no.,calculated volume (Å³ per atom),formation energy (eV per atom)
1,19.86,-0.51
2,22.85,-0.66
3,23.66,-0.58
4,19.95,-0.45
5,21.28,-0.32
6,21.09,-0.45